Computed, not measured: a relaxed Mn2BeO4 crystal at the PBE with a Hubbard U level of DFT.

Results
E = -51.7 eV per formula unit

a = 10.1983 Å, b = 5.9705 Å, c = 4.6203 Å
α = 90.00°, β = 90.00°, γ = 90.00°
Space group Pnma (No. 62)
Inequivalent atoms, fractional coordinates:
1 Mn 0.0000 0.0000 0.0000 [4 per cell]
2 Mn 0.2248 0.2500 0.4829 [4 per cell]
3 Be 0.0869 0.7500 0.4194 [4 per cell]
4 O 0.0620 0.2500 0.7506 [4 per cell]
5 O 0.0834 0.7500 0.7659 [4 per cell]
6 O 0.1526 0.5291 0.2552 [8 per cell]